No. 1
A geometry-optimized Pr5Er4Tm2 structure, computed with PBE-GGA.

Cell lengths 12.7950, 12.7950, 12.7950 Å; angles 164.15, 138.15, 45.02 degrees
Closest atoms and distances in Å follow each position.
Element x y z (fractional)
Pr (0.0000, 0.0000, 0.0000)  4 Er 3.38, 2 Pr 3.53
Pr (0.0548, 0.3532, 0.7016)  3 Tm 3.45-3.80, 3 Er 3.46-3.62, 3 Pr 3.53-3.69
Pr (0.3485, 0.6468, 0.7016)  3 Tm 3.45-3.80, 3 Er 3.46-3.62, 3 Pr 3.53-3.69
Pr (0.6515, 0.3532, 0.2984)  3 Tm 3.45-3.80, 3 Er 3.46-3.62, 3 Pr 3.53-3.69
Pr (0.9452, 0.6468, 0.2984)  3 Tm 3.45-3.80, 3 Er 3.46-3.62, 3 Pr 3.53-3.69
Er (0.3155, 0.5000, 0.8155)  7 Er 3.34-3.53, 4 Pr 3.38-3.62
Er (0.4035, 0.9035, 0.5000)  1 Tm 3.15, 6 Er 3.34-3.53, 4 Pr 3.46
Er (0.5965, 0.0965, 0.5000)  1 Tm 3.15, 6 Er 3.34-3.53, 4 Pr 3.46
Er (0.6845, 0.5000, 0.1845)  7 Er 3.34-3.53, 4 Pr 3.38-3.62
Tm (0.2701, 0.7701, 0.5000)  1 Er 3.15, 2 Pr 3.45, 2 Tm 3.53
Tm (0.7299, 0.2299, 0.5000)  1 Er 3.15, 2 Pr 3.45, 2 Tm 3.53

## Properties
offset from the most stable computed form = 124 kJ/mol of formula units
energy of formation from the pure elements = 0.20 eV per atom
total magnetization = 0.00 Bohr magnetons per cell
density of states at the Fermi level = 1.679 states/eV per atom
ρ = 7.46 g cm⁻³


No. 2
A geometry-optimized Pr4Er7Tm structure, computed with PBE-GGA.

Cell lengths 6.5585, 6.8447, 9.0582 Å; angles 84.61, 77.22, 81.47 degrees
Closest atoms and distances in Å follow each position.
Element x y z (fractional)
Pr (0.1405, 0.3094, 0.2859)  8 Er 3.34-3.69, 1 Tm 3.40, 2 Pr 3.53-3.54
Pr (0.3344, 0.8854, 0.6936)  7 Er 3.39-3.73, 2 Pr 3.53-3.54
Pr (0.6656, 0.1146, 0.3064)  7 Er 3.39-3.73, 2 Pr 3.53-3.54
Pr (0.8595, 0.6906, 0.7141)  8 Er 3.34-3.69, 1 Tm 3.40, 2 Pr 3.53-3.54
Er (0.0099, 0.2536, 0.9526)  5 Er 3.37-3.53, 4 Pr 3.38-3.70, 1 Tm 3.47
Er (0.1803, 0.7991, 0.3554)  5 Er 3.37-3.70, 4 Pr 3.47-3.56
Er (0.3151, 0.3946, 0.6209)  5 Er 3.29-3.64, 4 Pr 3.34-3.60
Er (0.5000, 0.0000, 0.0000)  4 Pr 3.39-3.69, 2 Tm 3.42, 4 Er 3.51-3.70
Er (0.6849, 0.6054, 0.3791)  5 Er 3.29-3.64, 4 Pr 3.34-3.60
Er (0.8197, 0.2009, 0.6446)  5 Er 3.37-3.70, 4 Pr 3.47-3.56
Er (0.9901, 0.7464, 0.0474)  5 Er 3.37-3.53, 4 Pr 3.38-3.70, 1 Tm 3.47
Tm (0.5000, 0.5000, 0.0000)  2 Pr 3.40, 4 Er 3.42-3.47

## Properties
offset from the most stable computed form = 0 kJ/mol of formula units
energy of formation from the pure elements = 0.09 eV per atom
total magnetization = 0.00 Bohr magnetons per cell
density of states at the Fermi level = 1.534 states/eV per atom
ρ = 8.08 g cm⁻³


No. 3
A geometry-optimized PrErTm2 structure, computed with PBE-GGA.

Cell lengths 3.5674, 3.5674, 34.4683 Å; angles 90.00, 90.00, 120.00 degrees
Closest atoms and distances in Å follow each position.
Element x y z (fractional)
Pr (0.0000, 0.0000, 0.0000)  6 Pr 3.57, 6 Tm 3.58-3.62
Pr (0.3333, 0.6667, 0.6667)  6 Pr 3.57, 6 Tm 3.58-3.62
Pr (0.6667, 0.3333, 0.3333)  6 Pr 3.57, 6 Tm 3.58-3.62
Er (0.0000, 0.0000, 0.1656)  6 Tm 3.46-3.48, 6 Er 3.57
Er (0.3333, 0.6667, 0.8323)  6 Tm 3.46-3.48, 6 Er 3.57
Er (0.6667, 0.3333, 0.4989)  6 Tm 3.46-3.48, 6 Er 3.57
Tm (0.0000, 0.0000, 0.5802)  3 Er 3.48, 6 Tm 3.57, 3 Pr 3.62
Tm (0.0000, 0.0000, 0.7515)  3 Er 3.46, 6 Tm 3.57, 3 Pr 3.58
Tm (0.3333, 0.6667, 0.2469)  3 Er 3.48, 6 Tm 3.57, 3 Pr 3.62
Tm (0.3333, 0.6667, 0.4181)  3 Er 3.46, 6 Tm 3.57, 3 Pr 3.58
Tm (0.6667, 0.3333, 0.0848)  3 Er 3.46, 6 Tm 3.57, 3 Pr 3.58
Tm (0.6667, 0.3333, 0.9136)  3 Er 3.48, 6 Tm 3.57, 3 Pr 3.62

## Properties
offset from the most stable computed form = 4 kJ/mol of formula units
energy of formation from the pure elements = 0.03 eV per atom
total magnetization = 0.00 Bohr magnetons per cell
density of states at the Fermi level = 1.385 states/eV per atom
ρ = 8.47 g cm⁻³


No. 4
A geometry-optimized Pr2Er5Tm4 structure, computed with PBE-GGA.

Cell lengths 3.5417, 8.6596, 11.7218 Å; angles 75.59, 81.33, 89.95 degrees
Closest atoms and distances in Å follow each position.
Element x y z (fractional)
Pr (0.0905, 0.2268, 0.3181)  2 Pr 3.54, 5 Er 3.54-3.56, 5 Tm 3.55-3.57
Pr (0.9095, 0.7732, 0.6819)  2 Pr 3.54, 5 Er 3.54-3.56, 5 Tm 3.55-3.57
Er (0.0000, 0.5000, 0.5000)  4 Tm 3.51, 6 Er 3.54-3.55, 2 Pr 3.54
Er (0.2718, 0.6829, 0.9564)  3 Tm 3.50-3.54, 7 Er 3.51-3.57, 2 Pr 3.55
Er (0.3630, 0.4067, 0.7738)  3 Tm 3.48-3.51, 7 Er 3.51-3.57, 2 Pr 3.55-3.56
Er (0.6370, 0.5933, 0.2262)  3 Tm 3.48-3.51, 7 Er 3.51-3.57, 2 Pr 3.55-3.56
Er (0.7282, 0.3171, 0.0436)  3 Tm 3.50-3.54, 7 Er 3.51-3.57, 2 Pr 3.55
Tm (0.1822, 0.9534, 0.1353)  5 Er 3.50-3.54, 6 Tm 3.51-3.54, 1 Pr 3.55
Tm (0.4529, 0.1398, 0.5944)  3 Er 3.48-3.51, 5 Tm 3.51-3.65, 4 Pr 3.55-3.57
Tm (0.5471, 0.8602, 0.4056)  3 Er 3.48-3.51, 5 Tm 3.51-3.65, 4 Pr 3.55-3.57
Tm (0.8178, 0.0466, 0.8647)  5 Er 3.50-3.54, 6 Tm 3.51-3.54, 1 Pr 3.55

## Properties
offset from the most stable computed form = 0 kJ/mol of formula units
energy of formation from the pure elements = 0.03 eV per atom
total magnetization = 0.00 Bohr magnetons per cell
density of states at the Fermi level = 1.377 states/eV per atom
ρ = 8.66 g cm⁻³


No. 5
A geometry-optimized Pr2Er12Tm5 structure, computed with PBE-GGA.

Cell lengths 9.0761, 9.0761, 8.4268 Å; angles 90.78, 90.78, 60.48 degrees
Closest atoms and distances in Å follow each position.
Element x y z (fractional)
Pr (0.1883, 0.8117, 0.0000)  8 Er 3.36-3.59, 1 Pr 3.44, 2 Tm 3.53
Pr (0.8117, 0.1883, 0.0000)  8 Er 3.36-3.59, 1 Pr 3.44, 2 Tm 3.53
Er (0.0570, 0.0570, 0.3268)  2 Pr 3.36, 2 Tm 3.37-3.50, 7 Er 3.37-3.45
Er (0.0659, 0.6821, 0.3516)  4 Tm 3.34-3.65, 6 Er 3.37-3.63, 1 Pr 3.59
Er (0.1598, 0.5225, 0.7538)  5 Er 3.32-3.63, 1 Pr 3.43, 5 Tm 3.44-3.70
Er (0.3179, 0.9341, 0.6484)  4 Tm 3.34-3.65, 6 Er 3.37-3.63, 1 Pr 3.59
Er (0.4035, 0.4035, 0.1169)  3 Tm 3.37-3.54, 2 Pr 3.38, 5 Er 3.48-3.64
Er (0.4775, 0.8402, 0.2462)  5 Er 3.32-3.63, 1 Pr 3.43, 5 Tm 3.44-3.70
Er (0.5225, 0.1598, 0.7538)  5 Er 3.32-3.63, 1 Pr 3.43, 5 Tm 3.44-3.70
Er (0.5965, 0.5965, 0.8831)  3 Tm 3.37-3.54, 2 Pr 3.38, 5 Er 3.48-3.64
Er (0.6821, 0.0659, 0.3516)  4 Tm 3.34-3.65, 6 Er 3.37-3.63, 1 Pr 3.59
Er (0.8402, 0.4775, 0.2462)  5 Er 3.32-3.63, 1 Pr 3.43, 5 Tm 3.44-3.70
Er (0.9341, 0.3179, 0.6484)  4 Tm 3.34-3.65, 6 Er 3.37-3.63, 1 Pr 3.59
Er (0.9430, 0.9430, 0.6732)  2 Pr 3.36, 2 Tm 3.37-3.50, 7 Er 3.37-3.45
Tm (0.1962, 0.1962, 0.0064)  8 Er 3.37-3.65, 2 Pr 3.53, 1 Tm 3.65
Tm (0.2667, 0.2667, 0.4217)  10 Er 3.34-3.67, 2 Tm 3.65-3.71
Tm (0.5000, 0.5000, 0.5000)  10 Er 3.54-3.70, 2 Tm 3.71
Tm (0.7333, 0.7333, 0.5783)  10 Er 3.34-3.67, 2 Tm 3.65-3.71
Tm (0.8038, 0.8038, 0.9936)  8 Er 3.37-3.65, 2 Pr 3.53, 1 Tm 3.65

## Properties
offset from the most stable computed form = 203 kJ/mol of formula units
energy of formation from the pure elements = 0.14 eV per atom
total magnetization = 0.00 Bohr magnetons per cell
density of states at the Fermi level = 1.404 states/eV per atom
ρ = 8.62 g cm⁻³


No. 6
A geometry-optimized Pr3Er2Tm5 structure, computed with PBE-GGA.

Cell lengths 9.6133, 9.6133, 9.3465 Å; angles 108.14, 108.14, 113.09 degrees
Closest atoms and distances in Å follow each position.
Element x y z (fractional)
Pr (0.0210, 0.2683, 0.0441)  1 Er 3.15, 5 Tm 3.29-3.46
Pr (0.2360, 0.7640, 0.7500)  4 Er 3.32-3.63, 3 Tm 3.34-3.63, 2 Pr 3.55
Pr (0.2683, 0.0210, 0.5441)  1 Er 3.15, 5 Tm 3.29-3.46
Pr (0.7317, 0.9790, 0.4559)  1 Er 3.15, 5 Tm 3.29-3.46
Pr (0.7640, 0.2360, 0.2500)  4 Er 3.32-3.63, 3 Tm 3.34-3.63, 2 Pr 3.55
Pr (0.9790, 0.7317, 0.9559)  1 Er 3.15, 5 Tm 3.29-3.46
Er (0.2347, 0.4647, 0.4520)  2 Pr 3.15-3.32, 4 Tm 3.26-3.43
Er (0.4647, 0.2347, 0.9520)  2 Pr 3.15-3.32, 4 Tm 3.26-3.43
Er (0.5353, 0.7653, 0.0480)  2 Pr 3.15-3.32, 4 Tm 3.26-3.43
Er (0.7653, 0.5353, 0.5480)  2 Pr 3.15-3.32, 4 Tm 3.26-3.43
Tm (0.0278, 0.9722, 0.7500)  5 Pr 3.32-3.43, 2 Er 3.37, 2 Tm 3.45
Tm (0.1506, 0.3679, 0.7662)  2 Er 3.43-3.57, 3 Pr 3.44-3.63, 3 Tm 3.45-3.74
Tm (0.2725, 0.7275, 0.2500)  1 Tm 3.18, 4 Pr 3.29-3.53
Tm (0.3679, 0.1506, 0.2662)  2 Er 3.43-3.57, 3 Pr 3.44-3.63, 3 Tm 3.45-3.74
Tm (0.4705, 0.5295, 0.2500)  3 Tm 3.18-3.45, 4 Er 3.26-3.37, 2 Pr 3.46
Tm (0.5295, 0.4705, 0.7500)  3 Tm 3.18-3.45, 4 Er 3.26-3.37, 2 Pr 3.46
Tm (0.6321, 0.8494, 0.7338)  2 Er 3.43-3.57, 3 Pr 3.44-3.63, 3 Tm 3.45-3.74
Tm (0.7275, 0.2725, 0.7500)  1 Tm 3.18, 4 Pr 3.29-3.53
Tm (0.8494, 0.6321, 0.2338)  2 Er 3.43-3.57, 3 Pr 3.44-3.63, 3 Tm 3.45-3.74
Tm (0.9722, 0.0278, 0.2500)  5 Pr 3.32-3.43, 2 Er 3.37, 2 Tm 3.45

## Properties
energy of formation from the pure elements = 0.19 eV per atom
total magnetization = 0.00 Bohr magnetons per cell
density of states at the Fermi level = 1.658 states/eV per atom
ρ = 8.11 g cm⁻³


No. 7
A geometry-optimized PrEr8Tm4 structure, computed with PBE-GGA.

Cell lengths 9.8680, 9.8680, 9.8680 Å; angles 42.91, 42.91, 42.91 degrees
Closest atoms and distances in Å follow each position.
Element x y z (fractional)
Pr (0.0000, 0.0000, 0.0000)  6 Er 2.91
Er (0.2511, 0.2511, 0.6947)  1 Pr 2.91, 2 Er 3.20
Er (0.2511, 0.6947, 0.2511)  1 Pr 2.91, 2 Er 3.20
Er (0.2815, 0.2815, 0.2815)  9 Er 3.64-3.65, 3 Tm 3.72
Er (0.3053, 0.7489, 0.7489)  1 Pr 2.91, 2 Er 3.20
Er (0.6947, 0.2511, 0.2511)  1 Pr 2.91, 2 Er 3.20
Er (0.7185, 0.7185, 0.7185)  9 Er 3.64-3.65, 3 Tm 3.72
Er (0.7489, 0.3053, 0.7489)  1 Pr 2.91, 2 Er 3.20
Er (0.7489, 0.7489, 0.3053)  1 Pr 2.91, 2 Er 3.20
Tm (0.0000, 0.0000, 0.5000)  6 Er 3.50-3.72, 6 Tm 3.61
Tm (0.0000, 0.5000, 0.0000)  6 Er 3.50-3.72, 6 Tm 3.61
Tm (0.5000, 0.0000, 0.0000)  6 Er 3.50-3.72, 6 Tm 3.61
Tm (0.5000, 0.5000, 0.5000)  6 Er 3.28, 6 Tm 3.61

## Properties
energy of formation from the pure elements = 0.21 eV per atom
total magnetization = 0.00 Bohr magnetons per cell
density of states at the Fermi level = 1.185 states/eV per atom
ρ = 8.86 g cm⁻³


No. 8
A geometry-optimized Pr12Er2Tm5 structure, computed with PBE-GGA.

Cell lengths 9.2025, 9.2025, 10.5724 Å; angles 120.72, 120.72, 72.52 degrees
Closest atoms and distances in Å follow each position.
Element x y z (fractional)
Pr (0.0134, 0.5691, 0.6857)  6 Pr 3.35-3.71, 3 Tm 3.37-3.70, 1 Er 3.43
Pr (0.0811, 0.0811, 0.4098)  3 Tm 3.47-3.69, 5 Pr 3.59-3.74, 2 Er 3.62
Pr (0.1348, 0.6593, 0.0997)  5 Pr 3.45-3.74, 5 Tm 3.49-3.72, 1 Er 3.50
Pr (0.3407, 0.8652, 0.9003)  5 Pr 3.45-3.74, 5 Tm 3.49-3.72, 1 Er 3.50
Pr (0.4040, 0.4040, 0.6480)  2 Tm 3.54-3.93, 7 Pr 3.60-3.74, 2 Er 3.61
Pr (0.4309, 0.9866, 0.3143)  6 Pr 3.35-3.71, 3 Tm 3.37-3.70, 1 Er 3.43
Pr (0.5691, 0.0134, 0.6857)  6 Pr 3.35-3.71, 3 Tm 3.37-3.70, 1 Er 3.43
Pr (0.5960, 0.5960, 0.3520)  2 Tm 3.54-3.93, 7 Pr 3.60-3.74, 2 Er 3.61
Pr (0.6593, 0.1348, 0.0997)  5 Pr 3.45-3.74, 5 Tm 3.49-3.72, 1 Er 3.50
Pr (0.8652, 0.3407, 0.9003)  5 Pr 3.45-3.74, 5 Tm 3.49-3.72, 1 Er 3.50
Pr (0.9189, 0.9189, 0.5902)  3 Tm 3.47-3.69, 5 Pr 3.59-3.74, 2 Er 3.62
Pr (0.9866, 0.4309, 0.3143)  6 Pr 3.35-3.71, 3 Tm 3.37-3.70, 1 Er 3.43
Er (0.2801, 0.7199, 0.5000)  8 Pr 3.43-3.62, 2 Tm 3.52
Er (0.7199, 0.2801, 0.5000)  8 Pr 3.43-3.62, 2 Tm 3.52
Tm (0.0000, 0.0000, 0.0000)  10 Pr 3.49-3.69, 2 Tm 3.58
Tm (0.2372, 0.2372, 0.8297)  1 Tm 3.41, 8 Pr 3.47-3.70
Tm (0.3052, 0.3052, 0.2040)  7 Pr 3.37-3.72, 2 Tm 3.41-3.58, 2 Er 3.52
Tm (0.6948, 0.6948, 0.7960)  7 Pr 3.37-3.72, 2 Tm 3.41-3.58, 2 Er 3.52
Tm (0.7628, 0.7628, 0.1703)  1 Tm 3.41, 8 Pr 3.47-3.70

## Properties
offset from the most stable computed form = 23 kJ/mol of formula units
energy of formation from the pure elements = 0.11 eV per atom
total magnetization = 0.00 Bohr magnetons per cell
density of states at the Fermi level = 1.410 states/eV per atom
ρ = 7.21 g cm⁻³